{"formula": "CaSmZnPt", "functional": "PBE", "state": "optimized geometry", "dos_ef_per_ev_cell": 2.19, "e_tot_ha_per_atom": -0.1554, "e_form_ev_per_atom": -0.72, "lattice": [[4.229, 0.000, 0.000], [0.000, 2.022, 5.702], [0.000, -2.022, 5.702]], "species": ["Ca", "Sm", "Zn", "Pt"], "frac_coords": [[0.000, 0.000, 0.000], [0.500, 0.715, 0.715], [0.500, 0.424, 0.424], [0.000, 0.276, 0.276]]}